(1)
{
  "formula": "Na2Sr2Sb",
  "functional": "PBE",
  "state": "relaxed",
  "cell": [[8.661, 0.000, 0.000], [0.000, 8.661, 0.000], [0.000, 0.000, 6.226]],
  "species": ["Sb", "Sb", "Na", "Na", "Na", "Na", "Sr", "Sr", "Sr", "Sr"],
  "fractional_positions": [[0.000, 0.000, 0.000], [0.500, 0.500, 0.000], [0.144, 0.644, 0.500], [0.644, 0.856, 0.500], [0.856, 0.356, 0.500], [0.356, 0.144, 0.500], [0.331, 0.831, 0.000], [0.831, 0.669, 0.000], [0.669, 0.169, 0.000], [0.169, 0.331, 0.000]],
  "m_tot_mub_per_atom": 0.09,
  "e_tot_ev_per_atom": -2.22,
  "raw_formation_energy_kj_per_mol_fu": -94
}

=====

(2)
{
  "formula": "NaSrSb2",
  "functional": "PBE",
  "state": "relaxed",
  "cell": [[0.000, 3.943, 3.943], [3.943, 0.000, 3.943], [3.943, 3.943, 0.000]],
  "species": ["Sb", "Sb", "Na", "Sr"],
  "fractional_positions": [[0.250, 0.250, 0.250], [0.750, 0.750, 0.750], [0.000, 0.000, 0.000], [0.500, 0.500, 0.500]],
  "m_tot_mub_per_atom": 0.00,
  "e_tot_ev_per_atom": -3.29,
  "raw_formation_energy_kj_per_mol_fu": -187,
  "e_above_lowest_polymorph_mev_per_atom": 114
}

=====

(3)
{
  "formula": "NaSr2Sb",
  "functional": "PBE",
  "state": "relaxed",
  "cell": [[4.948, 0.000, 0.000], [2.474, 4.285, 0.000], [2.474, 1.428, 8.696]],
  "species": ["Na", "Sr", "Sr", "Sb"],
  "fractional_positions": [[0.503, 0.503, 0.492], [0.062, 0.062, 0.813], [0.270, 0.270, 0.189], [0.665, 0.665, 0.006]],
  "m_tot_mub_per_atom": 0.00,
  "e_tot_ev_per_atom": -2.74,
  "raw_formation_energy_kj_per_mol_fu": -207
}

=====

(4)
{
  "formula": "NaSrSb2",
  "functional": "PBE",
  "state": "relaxed",
  "cell": [[4.276, 0.000, 0.000], [0.000, 4.276, 0.000], [0.000, 0.000, 6.630]],
  "species": ["Sb", "Sb", "Na", "Sr"],
  "fractional_positions": [[0.000, 0.000, 0.780], [0.000, 0.000, 0.220], [0.500, 0.500, 0.000], [0.500, 0.500, 0.500]],
  "m_tot_mub_per_atom": 0.00,
  "e_tot_ev_per_atom": -3.36,
  "raw_formation_energy_kj_per_mol_fu": -211,
  "e_above_lowest_polymorph_mev_per_atom": 51
}

=====

(5)
{
  "formula": "NaSrSb2",
  "functional": "PBE",
  "state": "relaxed",
  "cell": [[5.432, 0.000, 0.000], [0.000, 5.432, 0.000], [2.716, 2.716, 10.028]],
  "species": ["Sb", "Sb", "Sb", "Sb", "Na", "Na", "Sr", "Sr"],
  "fractional_positions": [[0.512, 0.125, 0.250], [0.238, 0.625, 0.250], [0.375, 0.488, 0.750], [0.875, 0.762, 0.750], [0.500, 0.500, 0.000], [0.250, 0.750, 0.500], [0.000, 0.000, 0.000], [0.750, 0.250, 0.500]],
  "m_tot_mub_per_atom": 0.00,
  "e_tot_ev_per_atom": -3.18,
  "raw_formation_energy_kj_per_mol_fu": -144,
  "e_above_lowest_polymorph_mev_per_atom": 225
}

=====

(6)
{
  "formula": "NaSrSb2Te",
  "functional": "PBE",
  "state": "relaxed",
  "cell": [[6.109, 0.000, 0.000], [0.000, 6.109, 0.000], [0.000, 0.000, 6.150]],
  "species": ["Sb", "Sb", "Te", "Na", "Sr"],
  "fractional_positions": [[0.000, 0.500, 0.000], [0.500, 0.000, 0.000], [0.000, 0.000, 0.500], [0.500, 0.500, 0.500], [0.000, 0.000, 0.000]],
  "m_tot_mub_per_atom": 0.00,
  "e_tot_ev_per_atom": -2.68,
  "raw_formation_energy_kj_per_mol_fu": 95,
  "e_above_lowest_polymorph_mev_per_atom": 240
}

=====

(7)
{
  "formula": "NaSrSb2Te",
  "functional": "PBE",
  "state": "relaxed",
  "cell": [[5.447, 0.000, 0.000], [0.000, 5.447, 0.000], [0.000, 0.000, 5.691]],
  "species": ["Sb", "Sb", "Te", "Na", "Sr"],
  "fractional_positions": [[0.000, 0.500, 0.000], [0.500, 0.000, 0.000], [0.000, 0.000, 0.500], [0.000, 0.000, 0.000], [0.500, 0.500, 0.500]],
  "m_tot_mub_per_atom": 0.00,
  "e_tot_ev_per_atom": -2.92,
  "raw_formation_energy_kj_per_mol_fu": -21,
  "e_above_lowest_polymorph_mev_per_atom": 0
}

=====

(8)
{
  "formula": "Na2SrSbTe4",
  "functional": "PBE",
  "state": "relaxed",
  "cell": [[9.166, -0.024, -0.471], [-0.031, 9.166, -0.471], [-4.823, -4.826, 6.942]],
  "species": ["Na", "Na", "Na", "Na", "Sr", "Sr", "Sb", "Sb", "Te", "Te", "Te", "Te", "Te", "Te", "Te", "Te"],
  "fractional_positions": [[0.500, 0.000, 0.000], [0.500, 0.000, 0.500], [0.000, 0.000, 0.500], [0.500, 0.500, 0.000], [0.000, 0.500, 0.000], [0.000, 0.500, 0.500], [0.500, 0.500, 0.500], [0.000, 0.000, 0.000], [0.248, 0.769, 0.008], [0.731, 0.252, 0.492], [0.269, 0.748, 0.508], [0.752, 0.231, 0.992], [0.746, 0.754, 0.977], [0.746, 0.754, 0.523], [0.254, 0.246, 0.477], [0.254, 0.246, 0.023]],
  "m_tot_mub_per_atom": 0.00,
  "e_tot_ev_per_atom": -3.38,
  "raw_formation_energy_kj_per_mol_fu": -578
}

=====

(9)
{
  "formula": "NaSrSbTe2",
  "functional": "PBE",
  "state": "relaxed",
  "cell": [[-3.552, 3.947, 2.033], [-2.280, 0.612, -5.172], [-3.571, -3.793, 1.125]],
  "species": ["Sb", "Te", "Te", "Na", "Sr"],
  "fractional_positions": [[0.000, 0.000, 0.500], [0.000, 0.500, 0.000], [0.500, 0.000, 0.000], [0.000, 0.000, 0.000], [0.500, 0.500, 0.500]],
  "m_tot_mub_per_atom": 0.00,
  "e_tot_ev_per_atom": -2.89,
  "raw_formation_energy_kj_per_mol_fu": -99,
  "e_above_lowest_polymorph_mev_per_atom": 0
}

=====

(10)
{
  "formula": "NaSrSbTe2",
  "functional": "PBE",
  "state": "relaxed",
  "cell": [[6.202, 0.000, 0.000], [0.000, 6.202, 0.000], [0.000, 0.000, 6.101]],
  "species": ["Sb", "Te", "Te", "Na", "Sr"],
  "fractional_positions": [[0.000, 0.000, 0.500], [0.000, 0.500, 0.000], [0.500, 0.000, 0.000], [0.500, 0.500, 0.500], [0.000, 0.000, 0.000]],
  "m_tot_mub_per_atom": 0.00,
  "e_tot_ev_per_atom": -2.71,
  "raw_formation_energy_kj_per_mol_fu": -14,
  "e_above_lowest_polymorph_mev_per_atom": 175
}

=====

(11)
{
  "formula": "NaSrSbTe3",
  "functional": "PBE",
  "state": "relaxed",
  "cell": [[-2.089, -3.960, 1.159], [6.619, -1.958, 5.244], [-7.818, 5.602, 5.048]],
  "species": ["Na", "Na", "Sr", "Sr", "Sb", "Sb", "Te", "Te", "Te", "Te", "Te", "Te"],
  "fractional_positions": [[0.250, 0.120, 0.618], [0.750, 0.880, 0.382], [0.250, 0.293, 0.298], [0.750, 0.707, 0.702], [0.250, 0.719, 0.125], [0.750, 0.281, 0.875], [0.750, 0.931, 0.093], [0.250, 0.069, 0.907], [0.250, 0.723, 0.485], [0.750, 0.277, 0.515], [0.750, 0.469, 0.154], [0.250, 0.531, 0.846]],
  "m_tot_mub_per_atom": 0.00,
  "e_tot_ev_per_atom": -3.53,
  "raw_formation_energy_kj_per_mol_fu": -449
}

=====

(12)
{
  "formula": "NaSrV2Sb",
  "functional": "PBE",
  "state": "relaxed",
  "cell": [[-3.528, 3.717, 1.779], [1.409, -1.155, 5.210], [3.881, 3.784, -0.211]],
  "species": ["Sb", "V", "V", "Na", "Sr"],
  "fractional_positions": [[0.500, 0.500, 0.500], [0.000, 0.000, 0.500], [0.500, 0.000, 0.000], [0.000, 0.500, 0.000], [0.000, 0.000, 0.000]],
  "m_tot_mub_per_atom": 1.67,
  "e_tot_ev_per_atom": -3.30,
  "raw_formation_energy_kj_per_mol_fu": 854
}

=====

Q: What is the formula in the sixth record?
A: NaSrSb2Te